Entry from Alexandria: an optimized crystal structure of HfSiPt2 (PBE).

Output
Electronic total energy   -7.344 eV per atom
Raw formation energy   -0.479 eV per atom

Cell and atoms, written as CIF:
```
data_HfSiPt2
_cell_length_a 5.556
_cell_length_b 5.556
_cell_length_c 11.825
_cell_angle_alpha 90.00
_cell_angle_beta 90.00
_cell_angle_gamma 90.00
_space_group_name_H-M_alt 'I -4 2 d'
_space_group_IT_number 122
_space_group_name_Hall 'I -4 2bw'
loop_
_atom_site_label
_atom_site_type_symbol
_atom_site_fract_x
_atom_site_fract_y
_atom_site_fract_z
Hf1 Hf 0.000 0.000 0.000
Si1 Si 0.000 0.000 0.500
Pt1 Pt 0.205 0.250 0.625
```